This record from Alexandria describes crystalline Er2CoIr at its relaxed geometry. The functional is PBE-GGA.

Cell: 4.7668 4.7668 3.3450 Å, 90.00 90.00 90.00°
Last column: nearest neighbours and their distance in Å.
Positions (direct):
1 Er 0.0000 0.5000 0.0000  4 Ir 2.91, 4 Co 2.91
2 Er 0.5000 0.0000 0.0000  4 Ir 2.91, 4 Co 2.91
3 Co 0.0000 0.0000 0.5000  8 Er 2.91
4 Ir 0.5000 0.5000 0.5000  8 Er 2.91

Energy of formation ... -53.4 kJ per mole of atoms
Total magnetic moment ... 0.49 Bohr magnetons per cell

=====

This record from Alexandria describes crystalline Er2Ge4Pd3Au at its relaxed geometry. The functional is PBE-GGA.

Cell: 4.1935 4.1935 10.7378 Å, 90.00 90.00 90.00°
Last column: nearest neighbours and their distance in Å.
Positions (direct):
1 Er 0.0000 0.5000 0.2420  8 Ge 3.16-3.47, 6 Pd 3.25-3.34, 2 Au 3.34
2 Er 0.5000 0.0000 0.7580  8 Ge 3.16-3.47, 6 Pd 3.25-3.34, 2 Au 3.34
3 Ge 0.0000 0.0000 0.5000  4 Pd 2.55
4 Ge 0.0000 0.5000 0.8591  3 Pd 2.41-2.59, 2 Au 2.59
5 Ge 0.5000 0.0000 0.1409  3 Pd 2.41-2.59, 2 Au 2.59
6 Ge 0.5000 0.5000 0.5000  4 Pd 2.55
7 Pd 0.0000 0.0000 0.0000  4 Ge 2.59
8 Pd 0.0000 0.5000 0.6349  5 Ge 2.41-2.55
9 Pd 0.5000 0.0000 0.3651  5 Ge 2.41-2.55
10 Au 0.5000 0.5000 0.0000  4 Ge 2.59

Energy of formation ... -64.8 kJ per mole of atoms
Total magnetic moment ... 0.00 Bohr magnetons per cell

=====

This record from Alexandria describes crystalline BaBe2Cu at its relaxed geometry. The functional is PBE-GGA.

Cell: 4.2419 4.2419 4.8942 Å, 90.00 90.00 90.00°
Last column: nearest neighbours and their distance in Å.
Positions (direct):
1 Ba 0.0000 0.0000 0.0000  4 Cu 3.00, 8 Be 3.24
2 Be 0.0000 0.5000 0.5000  4 Be 3.00, 4 Ba 3.24, 4 Cu 3.24
3 Be 0.5000 0.0000 0.5000  4 Be 3.00, 4 Ba 3.24, 4 Cu 3.24
4 Cu 0.5000 0.5000 0.0000  4 Ba 3.00, 8 Be 3.24

Energy of formation ... 100.0 kJ per mole of atoms
Excess energy over the best structure of this formula in the dataset ... 931 meV/atom
Total magnetic moment ... 0.00 Bohr magnetons per cell

=====

This record from Alexandria describes crystalline Na3OsBr8 at its relaxed geometry. The functional is PBE-GGA.

Cell: 7.1956 7.1956 8.6342 Å, 90.00 90.00 111.30°
Last column: nearest neighbours and their distance in Å.
Positions (direct):
1 Na 0.0000 0.0000 0.0000  6 Br 2.85-3.12
2 Na 0.0000 0.5000 0.7709  6 Br 2.84-3.13
3 Na 0.5000 0.0000 0.2291  6 Br 2.84-3.13
4 Os 0.0000 0.0000 0.5000  6 Br 2.49-2.50
5 Br 0.2096 0.7904 0.5000  1 Os 2.49
6 Br 0.2194 0.2197 0.2972  1 Os 2.50
7 Br 0.2197 0.2194 0.7028  1 Os 2.50
8 Br 0.2397 0.7603 0.0000  3 Na 2.84-2.85
9 Br 0.7603 0.2397 0.0000  3 Na 2.84-2.85
10 Br 0.7803 0.7806 0.7028  1 Os 2.50
11 Br 0.7806 0.7803 0.2972  1 Os 2.50
12 Br 0.7904 0.2096 0.5000  1 Os 2.49

Raw formation energy ... -9.33 eV per formula unit
Total magnetic moment ... 3.03 Bohr magnetons per cell